First-principles (PBE-GGA) data for a relaxed structure of Ca2AcPbN, as listed in Alexandria.

CIF file:
```
data_Ca2AcPbN
_chemical_formula_sum 'Ca2 Ac1 Pb1 N1'
_space_group_name_H-M_alt 'P 4/m m m'
_space_group_IT_number 123
_space_group_name_Hall '-P 4 2'
_cell_length_a 5.023
_cell_length_b 5.023
_cell_length_c 5.274
_cell_angle_alpha 90.00
_cell_angle_beta 90.00
_cell_angle_gamma 90.00
loop_
_atom_site_label
_atom_site_fract_x
_atom_site_fract_y
_atom_site_fract_z
Ca1 0.000 0.500 0.000
Ac1 0.000 0.000 0.500
Pb1 0.500 0.500 0.500
N1 0.000 0.000 0.000
```

Calculated values
Its energy relative to the elements, uncorrected is -0.85 eV/atom. As for the density of states at the Fermi level: 0.0865 states/eV/atom. The calculation puts the calculated total energy at -4.88 eV per atom. The value obtained for the spin magnetization is 0.0 μB/cell.